# Sr2AgHPd (GGA-PBE, relaxed)
# Electronic total energy (eV/atom): -3.379
data_Sr2AgHPd
_cell_length_a 5.505
_cell_length_b 5.505
_cell_length_c 3.744
_cell_angle_alpha 90.00
_cell_angle_beta 90.00
_cell_angle_gamma 90.00
_symmetry_space_group_name_H-M 'P 1'
_symmetry_Int_Tables_number 1
_symmetry_space_group_name_Hall 'P 1'
loop_
_atom_site_label
_atom_site_type_symbol
_atom_site_fract_x
_atom_site_fract_y
_atom_site_fract_z
_atom_site_occupancy
H1 H 0.000 0.000 0.000 1
Sr1 Sr 0.000 0.500 0.000 1
Ag1 Ag 0.500 0.500 0.500 1
Pd1 Pd 0.000 0.000 0.500 1
Sr2 Sr 0.500 0.000 0.000 1

=====

# TePd3Pb (GGA-PBE, relaxed)
# Uncorrected formation energy (eV per atom): -0.26
data_TePd3Pb
_cell_length_a 4.632
_cell_length_b 5.552
_cell_length_c 8.358
_cell_angle_alpha 90.00
_cell_angle_beta 90.00
_cell_angle_gamma 90.00
_symmetry_space_group_name_H-M 'P 1'
_symmetry_Int_Tables_number 1
_symmetry_space_group_name_Hall 'P 1'
loop_
_atom_site_label
_atom_site_type_symbol
_atom_site_fract_x
_atom_site_fract_y
_atom_site_fract_z
_atom_site_occupancy
Pd1 Pd 0.000 0.638 0.730 1
Pb1 Pb 0.000 0.153 0.628 1
Pd2 Pd 0.500 0.859 0.553 1
Pd3 Pd 0.500 0.785 0.206 1
Pd4 Pd 0.000 0.138 0.270 1
Te1 Te 0.500 0.760 0.871 1
Pd5 Pd 0.500 0.285 0.794 1
Pd6 Pd 0.500 0.359 0.447 1
Te2 Te 0.500 0.260 0.129 1
Pb2 Pb 0.000 0.653 0.372 1

=====

# SrFeAgOs2 (GGA-PBE, relaxed)
# Energy of formation (eV per atom): 3.065
data_SrFeAgOs2
_cell_length_a 4.905
_cell_length_b 4.728
_cell_length_c 4.905
_cell_angle_alpha 90.00
_cell_angle_beta 90.00
_cell_angle_gamma 90.00
_symmetry_space_group_name_H-M 'P 1'
_symmetry_Int_Tables_number 1
_symmetry_space_group_name_Hall 'P 1'
loop_
_atom_site_label
_atom_site_type_symbol
_atom_site_fract_x
_atom_site_fract_y
_atom_site_fract_z
_atom_site_occupancy
Os1 Os 0.000 0.000 0.500 1
Os2 Os 0.500 0.000 0.000 1
Fe1 Fe 0.000 0.500 0.000 1
Ag1 Ag 0.500 0.500 0.500 1
Sr1 Sr 0.000 0.000 0.000 1

=====

Which DOS(E_F) belongs to each record? In order, 2.7; 4.2; 5.7 states/eV/cell.
Which size of the total moment belongs to each record? In order, 0.000; 0.000; 5.206 μB per formula unit.